[1]
A relaxed structure of HfAgPd, computed with PBE.

Cell: 3.5080 3.5080 8.7348 Å, 90.00 90.00 90.00°
Atoms (fractional coordinates):
Hf  0.5000  0.0000  0.2679
Pd  0.0000  0.5000  0.4098
Pd  0.5000  0.0000  0.5902
Ag  0.5000  0.0000  0.9181
Ag  0.0000  0.5000  0.0819
Hf  0.0000  0.5000  0.7321

Computed properties:
density	12.135	Mg/m³
E	-6.4831	eV/atom
energy above the most stable polymorph in this dataset	2	meV/atom
energy relative to the elements	-144	kJ/mol of formula units
total moment	0.022	μB/cell



[2]
A relaxed structure of HfAgPd, computed with PBE.

Cell: 5.0273 5.0273 4.9336 Å, 90.00 90.00 121.26°
Atoms (fractional coordinates):
Pd  0.4024  0.5976  0.2500
Ag  0.9255  0.0745  0.7500
Hf  0.7402  0.2598  0.2500
Pd  0.5976  0.4024  0.7500
Hf  0.2598  0.7402  0.7500
Ag  0.0745  0.9255  0.2500

Computed properties:
density	12.238	Mg/m³
E	-6.4849	eV/atom
energy above the most stable polymorph in this dataset	0	meV/atom
energy relative to the elements	-145	kJ/mol of formula units
total moment	0.005	μB/cell



[3]
A relaxed structure of HfAgPd, computed with PBE.

Cell: 5.0357 5.0357 5.0357 Å, 139.44 139.44 58.71°
Atoms (fractional coordinates):
Hf  0.9925  0.9925  0.0000
Ag  0.6675  0.6675  0.0000
Pd  0.3400  0.3400  0.0000

Computed properties:
density	12.192	Mg/m³
E	-6.4717	eV/atom
energy above the most stable polymorph in this dataset	13	meV/atom
energy relative to the elements	-141	kJ/mol of formula units
total moment	0.003	μB/cell